GGA-PBE BaOsCl2F6, relaxed; DFT total energy = -46.98 eV/cell; symmetry = Fm-3m (225); energy relative to the elements, uncorrected = -43.60 kcal/mol of atoms; calculated volume = 19.858 Å³/atom; mass density = 4.29 Mg/m³
1.0
6.549 0.000 0.001
0.000 6.549 0.000
3.275 3.274 4.631
Ba Os Cl F
1 1 2 6
Direct
0.000 0.000 0.000
0.500 0.500 0.000
0.250 0.750 0.500
0.750 0.250 0.500
0.293 0.707 0.000
0.707 0.707 0.000
0.293 0.293 0.414
0.707 0.293 0.000
0.293 0.293 0.000
0.707 0.707 0.586